Record 1
{
  "formula": "ScTcTe2",
  "functional": "GGA-PBE",
  "state": "optimized geometry",
  "e_above_lowest_polymorph_ev_per_atom": 0.388,
  "dos_at_fermi_per_ev_cell": 6.5,
  "total_magnetization_mub_per_cell": 0.15,
  "crystal_system": "trigonal",
  "cell": [[1.708, 0.986, 8.608], [-1.708, 0.986, 8.608], [0.000, -1.973, 8.608]],
  "species": ["Sc", "Tc", "Te", "Te"],
  "frac_coords": [[0.000, 0.000, 0.000], [0.500, 0.500, 0.500], [0.242, 0.242, 0.242], [0.758, 0.758, 0.758]]
}

=====

Record 2
{
  "formula": "AlRh",
  "functional": "GGA-PBE",
  "state": "optimized geometry",
  "dos_at_fermi_per_ev_cell": 7.2,
  "total_magnetization_mub_per_cell": 0.00,
  "e_form_kj_per_mol_atoms": -59.45,
  "crystal_system": "monoclinic",
  "cell": [[4.790, 0.000, 0.000], [0.000, 5.618, 0.000], [-1.351, 0.000, 6.390]],
  "species": ["Al", "Al", "Al", "Al", "Al", "Al", "Rh", "Rh", "Rh", "Rh", "Rh", "Rh"],
  "frac_coords": [[0.000, 0.000, 0.000], [0.000, 0.500, 0.000], [0.251, 0.000, 0.641], [0.500, 0.259, 0.000], [0.500, 0.741, 0.000], [0.749, 0.000, 0.359], [0.239, 0.500, 0.689], [0.256, 0.252, 0.311], [0.256, 0.748, 0.311], [0.744, 0.252, 0.689], [0.744, 0.748, 0.689], [0.761, 0.500, 0.311]]
}

=====

Record 3
{
  "formula": "FeNiRu2",
  "functional": "GGA-PBE",
  "state": "optimized geometry",
  "dos_at_fermi_per_ev_cell": 4.4,
  "total_magnetization_mub_per_cell": 2.74,
  "e_form_kj_per_mol_atoms": 10.38,
  "crystal_system": "monoclinic",
  "cell": [[4.366, -1.327, 0.000], [4.366, 1.327, 0.000], [-0.816, 0.000, 4.396]],
  "species": ["Fe", "Ni", "Ru", "Ru"],
  "frac_coords": [[0.000, 0.000, 0.000], [0.745, 0.745, 0.224], [0.248, 0.248, 0.728], [0.497, 0.497, 0.493]]
}

=====

Record 4
{
  "formula": "Li2B6C",
  "functional": "GGA-PBE",
  "state": "optimized geometry",
  "dos_at_fermi_per_ev_cell": 0.9,
  "total_magnetization_mub_per_cell": 0.00,
  "e_form_kj_per_mol_atoms": -0.12,
  "crystal_system": "monoclinic",
  "cell": [[3.014, -2.858, 0.000], [3.014, 2.858, 0.000], [-0.840, 0.000, 5.382]],
  "species": ["Li", "Li", "B", "B", "B", "B", "B", "B", "C"],
  "frac_coords": [[0.123, 0.123, 0.261], [0.877, 0.877, 0.739], [0.200, 0.506, 0.992], [0.478, 0.478, 0.763], [0.494, 0.800, 0.008], [0.506, 0.200, 0.992], [0.522, 0.522, 0.237], [0.800, 0.494, 0.008], [0.500, 0.500, 0.500]]
}

=====

> Number 3 is which compound?

FeNiRu2

=====

> What is the formula in the first record?

ScTcTe2